Material: Li3MnF6
Method: DFT, PBE with a Hubbard U
State: relaxed

M_tot	7.9	Bohr magnetons per cell
polymorph energy (0 for the lowest one)	0.213	eV per atom
energy	-4.997	eV per atom
ρ	2894	kg/m³

a b c (Å): 6.8236 9.9949 3.1931
angles (deg): 90.00 90.00 90.00
Closest atoms and distances in Å follow each position.
Space group Cmmm (No. 65)
Symmetry-distinct sites (fractional):
Li (0.0000, 0.0000, 0.0000)  4 F 1.90
Li (0.2500, 0.2500, 0.5000)  6 F 2.05-2.13
Mn (0.0000, 0.5000, 0.0000)  4 F 2.02
F (0.0000, 0.3768, 0.5000)  2 Mn 2.02, 2 Li 2.13
F (0.2099, 0.1248, 0.0000)  3 Li 1.90-2.05